No. 1
VASP calculation (PBE-GGA) on a relaxed Y3Be6Pd20 crystal.

Computed properties:
ΔE_f = -0.647 eV per atom
calculated density = 9.4 g/cm³
DFT total energy = -5.668 eV per atom

abc: 8.4802 8.4802 8.4802
angles: 60.00 60.00 60.00
With the nearest neighbours (Å) after each atom.
Sites, in units of the cell vectors:
Pd (0.0000, 0.6585, 0.0000)  2 Be 2.38
Be (0.2718, 0.7282, 0.2718)  8 Pd 2.38-2.39
Pd (0.0000, 0.3415, 0.6585)  2 Be 2.38
Pd (0.6585, 0.3415, 0.0000)  2 Be 2.38
Pd (0.6585, 0.0000, 0.0000)  2 Be 2.38
Pd (0.6585, 0.0000, 0.3415)  2 Be 2.38
Pd (0.0000, 0.0000, 0.6585)  2 Be 2.38
Pd (0.0000, 0.0000, 0.3415)  2 Be 2.38
Pd (0.6168, 0.1497, 0.6168)  3 Be 2.39
Be (0.2718, 0.2718, 0.7282)  8 Pd 2.38-2.39
Pd (0.8503, 0.3832, 0.3832)  3 Be 2.39
Y (0.0000, 0.0000, 0.0000)  12 Pd 2.90
Be (0.7282, 0.2718, 0.2718)  8 Pd 2.38-2.39
Y (0.2500, 0.2500, 0.2500)  4 Pd 2.77
Pd (0.1497, 0.6168, 0.6168)  3 Be 2.39
Pd (0.3832, 0.3832, 0.3832)  3 Be 2.39
Y (0.7500, 0.7500, 0.7500)  4 Pd 2.77
Pd (0.3415, 0.0000, 0.0000)  2 Be 2.38
Be (0.7282, 0.7282, 0.2718)  8 Pd 2.38-2.39
Pd (0.6168, 0.6168, 0.6168)  3 Be 2.39
Pd (0.3832, 0.3832, 0.8503)  3 Be 2.39
Pd (0.3415, 0.0000, 0.6585)  2 Be 2.38
Pd (0.3415, 0.6585, 0.0000)  2 Be 2.38
Pd (0.0000, 0.3415, 0.0000)  2 Be 2.38
Be (0.2718, 0.7282, 0.7282)  8 Pd 2.38-2.39
Pd (0.3832, 0.8503, 0.3832)  3 Be 2.39
Be (0.7282, 0.2718, 0.7282)  8 Pd 2.38-2.39
Pd (0.0000, 0.6585, 0.3415)  2 Be 2.38
Pd (0.6168, 0.6168, 0.1497)  3 Be 2.39


No. 2
VASP calculation (PBE-GGA) on a relaxed YBe3Pd crystal.

Computed properties:
ΔE_f = -0.097 eV per atom
calculated density = 4.7 g/cm³
offset from the most stable computed form = 0.000 eV per atom
DFT total energy = -4.665 eV per atom

abc: 4.2687 4.2687 4.2687
angles: 90.00 90.00 90.00
With the nearest neighbours (Å) after each atom.
Sites, in units of the cell vectors:
Be (0.5000, 0.0000, 0.0000)  2 Pd 2.13
Be (0.0000, 0.5000, 0.0000)  2 Pd 2.13
Y (0.5000, 0.5000, 0.5000)  12 Be 3.02
Pd (0.0000, 0.0000, 0.0000)  6 Be 2.13
Be (0.0000, 0.0000, 0.5000)  2 Pd 2.13


No. 3
VASP calculation (PBE-GGA) on a relaxed YBe3Pd10 crystal.

Computed properties:
ΔE_f = -0.502 eV per atom
calculated density = 9.4 g/cm³
DFT total energy = -5.472 eV per atom

abc: 8.3968 8.3968 8.3968
angles: 60.00 60.00 60.00
With the nearest neighbours (Å) after each atom.
Sites, in units of the cell vectors:
Pd (0.6629, 0.0000, 0.0000)  2 Be 2.35
Be (0.7286, 0.2714, 0.7286)  8 Pd 2.35-2.37
Pd (0.3371, 0.0000, 0.0000)  2 Be 2.35
Pd (0.6169, 0.6169, 0.6169)  3 Be 2.37
Pd (0.1492, 0.6169, 0.6169)  3 Be 2.37
Pd (0.0000, 0.6629, 0.3371)  2 Be 2.35
Pd (0.0000, 0.0000, 0.6629)  2 Be 2.35
Pd (0.3831, 0.8508, 0.3831)  3 Be 2.37
Pd (0.0000, 0.3371, 0.0000)  2 Be 2.35
Pd (0.3831, 0.3831, 0.3831)  3 Be 2.37
Pd (0.0000, 0.0000, 0.3371)  2 Be 2.35
Pd (0.0000, 0.3371, 0.6629)  2 Be 2.35
Pd (0.3371, 0.0000, 0.6629)  2 Be 2.35
Pd (0.0000, 0.6629, 0.0000)  2 Be 2.35
Be (0.2714, 0.7286, 0.7286)  8 Pd 2.35-2.37
Be (0.2714, 0.2714, 0.7286)  8 Pd 2.35-2.37
Pd (0.8508, 0.3831, 0.3831)  3 Be 2.37
Y (0.7500, 0.7500, 0.7500)  4 Pd 2.74
Pd (0.3371, 0.6629, 0.0000)  2 Be 2.35
Be (0.7286, 0.7286, 0.2714)  8 Pd 2.35-2.37
Pd (0.6629, 0.3371, 0.0000)  2 Be 2.35
Pd (0.6169, 0.6169, 0.1492)  3 Be 2.37
Be (0.7286, 0.2714, 0.2714)  8 Pd 2.35-2.37
Pd (0.6169, 0.1492, 0.6169)  3 Be 2.37
Pd (0.3831, 0.3831, 0.8508)  3 Be 2.37
Pd (0.6629, 0.0000, 0.3371)  2 Be 2.35
Be (0.2714, 0.7286, 0.2714)  8 Pd 2.35-2.37
Y (0.2500, 0.2500, 0.2500)  4 Pd 2.74


No. 4
VASP calculation (PBE-GGA) on a relaxed YBePd3 crystal.

Computed properties:
ΔE_f = -0.684 eV per atom
calculated density = 8.3 g/cm³
offset from the most stable computed form = 0.000 eV per atom
DFT total energy = -5.838 eV per atom

abc: 4.3703 4.3703 4.3703
angles: 90.00 90.00 90.00
With the nearest neighbours (Å) after each atom.
Sites, in units of the cell vectors:
Pd (0.5000, 0.0000, 0.0000)  2 Be 2.19
Be (0.0000, 0.0000, 0.0000)  6 Pd 2.19
Pd (0.0000, 0.5000, 0.0000)  2 Be 2.19
Y (0.5000, 0.5000, 0.5000)  12 Pd 3.09
Pd (0.0000, 0.0000, 0.5000)  2 Be 2.19


No. 5
VASP calculation (PBE-GGA) on a relaxed YBePd2 crystal.

Computed properties:
ΔE_f = -0.262 eV per atom
calculated density = 6.3 g/cm³
DFT total energy = -5.406 eV per atom

abc: 4.7700 4.7700 7.9967
angles: 72.65 72.65 90.00
With the nearest neighbours (Å) after each atom.
Sites, in units of the cell vectors:
Y (0.0000, 0.0000, 0.0000)  4 Pd 2.86
Pd (0.4856, 0.1250, 0.2500)  2 Be 2.23
Pd (0.2644, 0.6250, 0.2500)  2 Be 2.23
Pd (0.3750, 0.5144, 0.7500)  2 Be 2.23
Pd (0.8750, 0.7356, 0.7500)  2 Be 2.23
Y (0.7500, 0.2500, 0.5000)  4 Pd 2.86
Be (0.2500, 0.7500, 0.5000)  4 Pd 2.23
Be (0.5000, 0.5000, 0.0000)  4 Pd 2.23


No. 6
VASP calculation (PBE-GGA) on a relaxed YBe2Pd6 crystal.

Computed properties:
ΔE_f = -0.294 eV per atom
calculated density = 7.8 g/cm³
DFT total energy = -5.302 eV per atom

abc: 4.8108 4.8108 7.9376
angles: 90.00 90.00 120.00
With the nearest neighbours (Å) after each atom.
Sites, in units of the cell vectors:
Be (0.6667, 0.3333, 0.5000)  6 Pd 2.29
Y (0.0000, 0.0000, 0.0000)  6 Pd 2.84
Pd (0.0000, 0.3375, 0.7063)  2 Be 2.29
Pd (0.3375, 0.3375, 0.2937)  2 Be 2.29
Pd (0.0000, 0.6625, 0.2937)  2 Be 2.29
Be (0.3333, 0.6667, 0.5000)  6 Pd 2.29
Pd (0.3375, 0.0000, 0.7063)  2 Be 2.29
Pd (0.6625, 0.0000, 0.2937)  2 Be 2.29
Pd (0.6625, 0.6625, 0.7063)  2 Be 2.29


No. 7
VASP calculation (PBE-GGA) on a relaxed Y2BePd6 crystal.

Computed properties:
ΔE_f = -0.873 eV per atom
calculated density = 9.1 g/cm³
DFT total energy = -6.186 eV per atom

abc: 5.9805 5.9805 5.9787
angles: 59.95 59.95 59.96
With the nearest neighbours (Å) after each atom.
Sites, in units of the cell vectors:
Pd (0.2386, 0.7615, 0.7615)  1 Be 2.21
Y (0.7500, 0.7500, 0.7501)  12 Pd 2.99
Be (0.5000, 0.5000, 0.5000)  6 Pd 2.21
Pd (0.7615, 0.7615, 0.2388)  1 Be 2.21
Pd (0.2385, 0.7614, 0.2385)  1 Be 2.21
Y (0.2500, 0.2500, 0.2499)  12 Pd 2.99
Pd (0.7615, 0.2386, 0.7615)  1 Be 2.21
Pd (0.7614, 0.2385, 0.2385)  1 Be 2.21
Pd (0.2385, 0.2385, 0.7612)  1 Be 2.21


No. 8
VASP calculation (PBE-GGA) on a relaxed YBe4Pd8 crystal.

Computed properties:
ΔE_f = -0.539 eV per atom
calculated density = 8.9 g/cm³
DFT total energy = -5.378 eV per atom

abc: 5.1074 6.4995 6.4995
angles: 81.12 66.86 66.86
With the nearest neighbours (Å) after each atom.
Sites, in units of the cell vectors:
Be (0.5000, 0.5000, 0.0000)  8 Pd 2.48-2.57, 2 Be 2.55
Be (0.0000, 0.5000, 0.0000)  8 Pd 2.48-2.57, 2 Be 2.55
Pd (0.0000, 0.6657, 0.3343)  4 Be 2.57, 5 Pd 2.72-2.80, 1 Y 2.83
Pd (0.2755, 0.2245, 0.2245)  4 Be 2.48, 6 Pd 2.68-2.72
Pd (0.5000, 0.7755, 0.2245)  4 Be 2.48, 6 Pd 2.68-2.72
Pd (0.3343, 0.6657, 0.6657)  4 Be 2.57, 5 Pd 2.72-2.80, 1 Y 2.83
Pd (0.0000, 0.3343, 0.6657)  4 Be 2.57, 5 Pd 2.72-2.80, 1 Y 2.83
Be (0.0000, 0.0000, 0.5000)  8 Pd 2.48-2.57, 2 Be 2.55
Pd (0.5000, 0.2245, 0.7755)  4 Be 2.48, 6 Pd 2.68-2.72
Pd (0.6657, 0.3343, 0.3343)  4 Be 2.57, 5 Pd 2.72-2.80, 1 Y 2.83
Y (0.0000, 0.0000, 0.0000)  4 Pd 2.83
Be (0.5000, 0.0000, 0.5000)  8 Pd 2.48-2.57, 2 Be 2.55
Pd (0.7245, 0.7755, 0.7755)  4 Be 2.48, 6 Pd 2.68-2.72


No. 9
VASP calculation (PBE-GGA) on a relaxed YBePd2 crystal.

Computed properties:
ΔE_f = -0.734 eV per atom
calculated density = 7.5 g/cm³
DFT total energy = -5.878 eV per atom

abc: 3.9219 4.1097 8.8288
angles: 103.46 90.00 90.00
With the nearest neighbours (Å) after each atom.
Sites, in units of the cell vectors:
Pd (0.5000, 0.6995, 0.3991)  1 Be 2.23
Be (0.5000, 0.5698, 0.1395)  5 Pd 2.23-2.38, 1 Be 2.40
Y (0.0000, 0.8555, 0.7110)  10 Pd 2.99-3.32, 4 Be 3.12
Pd (0.0000, 0.5000, 0.0000)  4 Be 2.30
Y (0.0000, 0.1445, 0.2890)  10 Pd 2.99-3.32, 4 Be 3.12
Be (0.5000, 0.4302, 0.8605)  5 Pd 2.23-2.38, 1 Be 2.40
Pd (0.5000, 0.0000, 0.0000)  4 Be 2.38
Pd (0.5000, 0.3005, 0.6009)  1 Be 2.23


No. 10
VASP calculation (PBE-GGA) on a relaxed YBe2Pd2 crystal.

Computed properties:
ΔE_f = -0.564 eV per atom
calculated density = 6.8 g/cm³
offset from the most stable computed form = 0.025 eV per atom
DFT total energy = -5.424 eV per atom

abc: 3.9739 3.9739 5.7130
angles: 69.65 69.65 90.00
With the nearest neighbours (Å) after each atom.
Sites, in units of the cell vectors:
Pd (0.3637, 0.3637, 0.2727)  4 Be 2.29
Be (0.7500, 0.2500, 0.5000)  4 Pd 2.29
Be (0.2500, 0.7500, 0.5000)  4 Pd 2.29
Pd (0.6363, 0.6363, 0.7273)  4 Be 2.29
Y (0.0000, 0.0000, 0.0000)  8 Pd 3.12, 8 Be 3.18


No. 11
VASP calculation (PBE-GGA) on a relaxed Y2Be6Pd9 crystal.

Computed properties:
ΔE_f = -0.568 eV per atom
calculated density = 7.4 g/cm³
DFT total energy = -5.392 eV per atom

abc: 5.5773 5.5773 9.8629
angles: 90.00 90.00 120.00
With the nearest neighbours (Å) after each atom.
Sites, in units of the cell vectors:
Be (0.3333, 0.6667, 0.3333)  6 Pd 2.30-2.32
Be (0.3333, 0.6667, 0.6667)  6 Pd 2.30-2.32
Pd (0.5000, 0.5000, 0.5000)  4 Be 2.30
Pd (0.5000, 0.0000, 0.1642)  4 Be 2.28-2.32
Pd (0.0000, 0.5000, 0.1642)  4 Be 2.28-2.32
Be (0.6667, 0.3333, 0.0000)  6 Pd 2.28
Y (0.0000, 0.0000, 0.6950)  12 Pd 3.12-3.39, 6 Be 3.23
Pd (0.0000, 0.5000, 0.5000)  4 Be 2.30
Y (0.0000, 0.0000, 0.3050)  12 Pd 3.12-3.39, 6 Be 3.23
Pd (0.5000, 0.0000, 0.5000)  4 Be 2.30
Be (0.3333, 0.6667, 0.0000)  6 Pd 2.28
Pd (0.0000, 0.5000, 0.8358)  4 Be 2.28-2.32
Pd (0.5000, 0.5000, 0.1642)  4 Be 2.28-2.32
Pd (0.5000, 0.0000, 0.8358)  4 Be 2.28-2.32
Pd (0.5000, 0.5000, 0.8358)  4 Be 2.28-2.32
Be (0.6667, 0.3333, 0.6667)  6 Pd 2.30-2.32
Be (0.6667, 0.3333, 0.3333)  6 Pd 2.30-2.32


No. 12
VASP calculation (PBE-GGA) on a relaxed Y2Be2Pd5 crystal.

Computed properties:
ΔE_f = -0.733 eV per atom
calculated density = 8.2 g/cm³
DFT total energy = -5.882 eV per atom

abc: 4.0568 4.0568 8.9827
angles: 90.00 90.00 90.00
With the nearest neighbours (Å) after each atom.
Sites, in units of the cell vectors:
Pd (0.0000, 0.5000, 0.7432)  2 Be 2.31
Pd (0.5000, 0.0000, 0.2568)  2 Be 2.31
Be (0.5000, 0.5000, 0.8660)  4 Pd 2.31, 1 Be 2.41
Y (0.0000, 0.0000, 0.0000)  8 Pd 3.07, 8 Be 3.11
Pd (0.0000, 0.5000, 0.2568)  2 Be 2.31
Be (0.5000, 0.5000, 0.1340)  4 Pd 2.31, 1 Be 2.41
Pd (0.5000, 0.5000, 0.5000)  4 Y 2.87, 8 Pd 2.98
Y (0.0000, 0.0000, 0.5000)  12 Pd 2.87-2.98
Pd (0.5000, 0.0000, 0.7432)  2 Be 2.31


Question: Which of these has the lowest DFT total energy?
Answer: Y2BePd6


Question: The lowest calculated density belongs to which entry?
Answer: YBe3Pd


Question: ΔE_f of number 4 (YBePd3)?
Answer: -0.684 eV per atom


Please write out number 12 again, unchanged.
VASP calculation (PBE-GGA) on a relaxed Y2Be2Pd5 crystal.

Computed properties:
ΔE_f = -0.733 eV per atom
calculated density = 8.2 g/cm³
DFT total energy = -5.882 eV per atom

abc: 4.0568 4.0568 8.9827
angles: 90.00 90.00 90.00
With the nearest neighbours (Å) after each atom.
Sites, in units of the cell vectors:
Pd (0.0000, 0.5000, 0.7432)  2 Be 2.31
Pd (0.5000, 0.0000, 0.2568)  2 Be 2.31
Be (0.5000, 0.5000, 0.8660)  4 Pd 2.31, 1 Be 2.41
Y (0.0000, 0.0000, 0.0000)  8 Pd 3.07, 8 Be 3.11
Pd (0.0000, 0.5000, 0.2568)  2 Be 2.31
Be (0.5000, 0.5000, 0.1340)  4 Pd 2.31, 1 Be 2.41
Pd (0.5000, 0.5000, 0.5000)  4 Y 2.87, 8 Pd 2.98
Y (0.0000, 0.0000, 0.5000)  12 Pd 2.87-2.98
Pd (0.5000, 0.0000, 0.7432)  2 Be 2.31